# Mg2MoPb (PBE, relaxed)
# N(E_F)   0.768 states/eV per atom
# Crystal system   trigonal
# Mass density   6.82 g/cm³
# Magnetization   0.00 μB per atom
# Formation energy   0.36 eV per atom
# Electronic total energy   -4.0681 eV/atom
data_Mg2MoPb
_chemical_formula_sum 'Mg6 Mo3 Pb3'
_space_group_name_H-M_alt 'R -3 m'
_space_group_IT_number 166
_space_group_name_Hall '-R 3 2"'
_cell_length_a 3.1469
_cell_length_b 3.1469
_cell_length_c 29.9499
_cell_angle_alpha 90.00
_cell_angle_beta 90.00
_cell_angle_gamma 120.00
loop_
_atom_site_label
_atom_site_fract_x
_atom_site_fract_y
_atom_site_fract_z
Mg1 0.0000 0.0000 0.2406
Mo1 0.0000 0.0000 0.5000
Pb1 0.0000 0.0000 0.0000


# TaCrOs2 (PBE, relaxed)
# N(E_F)   1.033 states/eV per atom
# Crystal system   tetragonal
# Mass density   17.12 g/cm³
# Magnetization   0.00 μB per atom
# Formation energy   0.12 eV per atom
# Electronic total energy   -10.8663 eV/atom
data_TaCrOs2
_chemical_formula_sum 'Ta1 Cr1 Os2'
_space_group_name_H-M_alt 'P 4 m m'
_space_group_IT_number 99
_space_group_name_Hall 'P 4 -2'
_cell_length_a 3.0810
_cell_length_b 3.0810
_cell_length_c 6.2687
_cell_angle_alpha 90.00
_cell_angle_beta 90.00
_cell_angle_gamma 90.00
loop_
_atom_site_label
_atom_site_fract_x
_atom_site_fract_y
_atom_site_fract_z
Ta1 0.0000 0.0000 0.0000
Cr1 0.5000 0.5000 0.2593
Os1 0.0000 0.0000 0.4574
Os2 0.5000 0.5000 0.7590


# AsPtI2 (PBE, relaxed)
# Energy relative to the lowest polymorph listed for this composition   0.000 eV/atom
# N(E_F)   0.903 states/eV per atom
# Crystal system   tetragonal
# Mass density   6.88 g/cm³
# Magnetization   0.00 μB per atom
# ΔE_f (raw)   0.584 eV per atom
# Electronic total energy   -2.8641 eV/atom
data_AsPtI2
_chemical_formula_sum 'As4 Pt4 I8'
_space_group_name_H-M_alt 'I -4 2 d'
_space_group_IT_number 122
_space_group_name_Hall 'I -4 2bw'
_cell_length_a 5.7049
_cell_length_b 5.7049
_cell_length_c 15.5316
_cell_angle_alpha 90.00
_cell_angle_beta 90.00
_cell_angle_gamma 90.00
loop_
_atom_site_label
_atom_site_fract_x
_atom_site_fract_y
_atom_site_fract_z
As1 0.0000 0.0000 0.0000
Pt1 0.0000 0.0000 0.5000
I1 0.2264 0.2500 0.6250


# AcIn2Pt (PBE, relaxed)
# Energy relative to the lowest polymorph listed for this composition   0.311 eV/atom
# N(E_F)   0.547 states/eV per atom
# Crystal system   tetragonal
# Mass density   10.78 g/cm³
# Magnetization   0.00 μB per atom
# Formation energy   -0.41 eV per atom
# Electronic total energy   -4.3148 eV/atom
data_AcIn2Pt
_chemical_formula_sum 'Ac1 In2 Pt1'
_space_group_name_H-M_alt 'P 4/m m m'
_space_group_IT_number 123
_space_group_name_Hall '-P 4 2'
_cell_length_a 3.5993
_cell_length_b 3.5993
_cell_length_c 7.7488
_cell_angle_alpha 90.00
_cell_angle_beta 90.00
_cell_angle_gamma 90.00
loop_
_atom_site_label
_atom_site_fract_x
_atom_site_fract_y
_atom_site_fract_z
Ac1 0.0000 0.0000 0.0000
In1 0.5000 0.5000 0.3107
Pt1 0.0000 0.0000 0.5000


# LaNd6Dy2Ho3 (PBE, relaxed)
# N(E_F)   1.275 states/eV per atom
# Crystal system   monoclinic
# Mass density   7.50 g/cm³
# Magnetization   0.00 μB per atom
# Formation energy   0.02 eV per atom
# Electronic total energy   -4.6890 eV/atom
data_LaNd6Dy2Ho3
_chemical_formula_sum 'La2 Nd12 Dy4 Ho6'
_space_group_name_H-M_alt 'C 1 2/m 1'
_space_group_IT_number 12
_space_group_name_Hall '-C 2y'
_cell_length_a 6.2931
_cell_length_b 10.9035
_cell_length_c 11.9558
_cell_angle_alpha 90.00
_cell_angle_beta 100.12
_cell_angle_gamma 90.00
loop_
_atom_site_label
_atom_site_fract_x
_atom_site_fract_y
_atom_site_fract_z
La1 0.0000 0.0000 0.0000
Nd1 0.2483 0.3327 0.7471
Nd2 0.2498 0.0000 0.7470
Dy1 0.0000 0.3334 0.0000
Ho1 0.0000 0.1670 0.5000
Ho2 0.0000 0.5000 0.5000


# Li4TmAg5 (PBE, relaxed)
# N(E_F)   0.381 states/eV per atom
# Crystal system   tetragonal
# Mass density   6.93 g/cm³
# Magnetization   0.00 μB per atom
# Formation energy   -0.22 eV per atom
# Electronic total energy   -2.8562 eV/atom
data_Li4TmAg5
_chemical_formula_sum 'Li4 Tm1 Ag5'
_space_group_name_H-M_alt 'P 4/m m m'
_space_group_IT_number 123
_space_group_name_Hall '-P 4 2'
_cell_length_a 3.3262
_cell_length_b 3.3262
_cell_length_c 15.9504
_cell_angle_alpha 90.00
_cell_angle_beta 90.00
_cell_angle_gamma 90.00
loop_
_atom_site_label
_atom_site_fract_x
_atom_site_fract_y
_atom_site_fract_z
Li1 0.0000 0.0000 0.0940
Li2 0.0000 0.0000 0.2813
Tm1 0.0000 0.0000 0.5000
Ag1 0.5000 0.5000 0.0000
Ag2 0.5000 0.5000 0.1885
Ag3 0.5000 0.5000 0.3757


# PmMgBiIr (PBE, relaxed)
# N(E_F)   0.828 states/eV per atom
# Crystal system   cubic
# Mass density   10.54 g/cm³
# Magnetization   0.00 μB per atom
# Formation energy   -0.25 eV per atom
# Electronic total energy   -5.0209 eV/atom
data_PmMgBiIr
_chemical_formula_sum 'Pm4 Mg4 Bi4 Ir4'
_space_group_name_H-M_alt 'F -4 3 m'
_space_group_IT_number 216
_space_group_name_Hall 'F -4 2 3'
_cell_length_a 7.1116
_cell_length_b 7.1116
_cell_length_c 7.1116
_cell_angle_alpha 90.00
_cell_angle_beta 90.00
_cell_angle_gamma 90.00
loop_
_atom_site_label
_atom_site_fract_x
_atom_site_fract_y
_atom_site_fract_z
Pm1 0.0000 0.0000 0.0000
Mg1 0.2500 0.2500 0.2500
Bi1 0.0000 0.0000 0.5000
Ir1 0.2500 0.2500 0.7500


# GdThAlHg (PBE, relaxed)
# N(E_F)   0.715 states/eV per atom
# Crystal system   cubic
# Mass density   9.67 g/cm³
# Magnetization   1.81 μB per atom
# Formation energy   -0.29 eV per atom
# Electronic total energy   -6.6747 eV/atom
data_GdThAlHg
_chemical_formula_sum 'Gd4 Th4 Al4 Hg4'
_space_group_name_H-M_alt 'F -4 3 m'
_space_group_IT_number 216
_space_group_name_Hall 'F -4 2 3'
_cell_length_a 7.5109
_cell_length_b 7.5109
_cell_length_c 7.5109
_cell_angle_alpha 90.00
_cell_angle_beta 90.00
_cell_angle_gamma 90.00
loop_
_atom_site_label
_atom_site_fract_x
_atom_site_fract_y
_atom_site_fract_z
Gd1 0.0000 0.0000 0.0000
Th1 0.0000 0.0000 0.5000
Al1 0.2500 0.2500 0.7500
Hg1 0.2500 0.2500 0.2500


# Pr4NdDy2 (PBE, relaxed)
# Energy relative to the lowest polymorph listed for this composition   0.000 eV/atom
# N(E_F)   1.533 states/eV per atom
# Crystal system   orthorhombic
# Mass density   7.02 g/cm³
# Magnetization   0.00 μB per atom
# Formation energy   0.06 eV per atom
# Electronic total energy   -4.6647 eV/atom
data_Pr4NdDy2
_chemical_formula_sum 'Pr32 Nd8 Dy16'
_space_group_name_H-M_alt 'F d d 2'
_space_group_IT_number 43
_space_group_name_Hall 'F 2 -2d'
_cell_length_a 12.1721
_cell_length_b 24.5809
_cell_length_c 6.5366
_cell_angle_alpha 90.00
_cell_angle_beta 90.00
_cell_angle_gamma 90.00
loop_
_atom_site_label
_atom_site_fract_x
_atom_site_fract_y
_atom_site_fract_z
Pr1 0.0480 0.0715 0.0000
Pr2 0.0628 0.1436 0.5247
Nd1 0.0000 0.0000 0.4905
Dy1 0.0249 0.2161 0.0468


# Sr2CaZnPt (PBE, relaxed)
# Energy relative to the lowest polymorph listed for this composition   0.000 eV/atom
# N(E_F)   0.561 states/eV per atom
# Crystal system   tetragonal
# Mass density   4.13 g/cm³
# Magnetization   0.00 μB per atom
# Formation energy   -0.34 eV per atom
# Electronic total energy   -2.8786 eV/atom
data_Sr2CaZnPt
_chemical_formula_sum 'Sr2 Ca1 Zn1 Pt1'
_space_group_name_H-M_alt 'P 4/m m m'
_space_group_IT_number 123
_space_group_name_Hall '-P 4 2'
_cell_length_a 5.8896
_cell_length_b 5.8896
_cell_length_c 5.5162
_cell_angle_alpha 90.00
_cell_angle_beta 90.00
_cell_angle_gamma 90.00
loop_
_atom_site_label
_atom_site_fract_x
_atom_site_fract_y
_atom_site_fract_z
Sr1 0.0000 0.5000 0.0000
Ca1 0.0000 0.0000 0.5000
Zn1 0.5000 0.5000 0.5000
Pt1 0.0000 0.0000 0.0000


# MnHSe (PBE, relaxed)
# N(E_F)   0.402 states/eV per atom
# Crystal system   orthorhombic
# Mass density   5.63 g/cm³
# Magnetization   0.77 μB per atom
# Electronic total energy   -5.4441 eV/atom
data_MnHSe
_chemical_formula_sum 'Mn2 H2 Se2'
_space_group_name_H-M_alt 'P m m n'
_space_group_IT_number 59
_cell_length_a 3.5878
_cell_length_b 3.6099
_cell_length_c 6.1456
_cell_angle_alpha 90.00
_cell_angle_beta 90.00
_cell_angle_gamma 90.00
loop_
_space_group_symop_operation_xyz
'x,y,z'
'-x,-y,-z'
'-x+1/2,-y+1/2,z'
'x+1/2,y+1/2,-z'
'x+1/2,-y,-z'
'-x+1/2,y,z'
'-x,y+1/2,-z'
'x,-y+1/2,z'
loop_
_atom_site_label
_atom_site_fract_x
_atom_site_fract_y
_atom_site_fract_z
Mn1 0.2500 0.2500 0.0008
H1 0.2500 0.7500 0.9056
Se1 0.2500 0.7500 0.2950


# PmNd2TmS5 (PBE, relaxed)
# N(E_F)   0.546 states/eV per atom
# Crystal system   tetragonal
# Mass density   5.22 g/cm³
# Magnetization   0.00 μB per atom
# ΔE_f (raw)   -1.505 eV per atom
# Electronic total energy   -5.8822 eV/atom
data_PmNd2TmS5
_chemical_formula_sum 'Pm1 Nd2 Tm1 S5'
_space_group_name_H-M_alt 'P 4/m m m'
_space_group_IT_number 123
_space_group_name_Hall '-P 4 2'
_cell_length_a 4.8245
_cell_length_b 4.8245
_cell_length_c 10.4167
_cell_angle_alpha 90.00
_cell_angle_beta 90.00
_cell_angle_gamma 90.00
loop_
_atom_site_label
_atom_site_fract_x
_atom_site_fract_y
_atom_site_fract_z
Pm1 0.0000 0.0000 0.0000
Nd1 0.5000 0.5000 0.3081
Tm1 0.0000 0.0000 0.5000
S1 0.0000 0.0000 0.2506
S2 0.0000 0.5000 0.5000
S3 0.5000 0.5000 0.0000


> electronic total energy of number 5 (LaNd6Dy2Ho3)?

-4.6890 eV/atom


> What is the formula in the seventh record?

PmMgBiIr